First-principles (PBE) data for TaV3Ga after structural relaxation, as listed in Alexandria.

Computed properties:
ΔE_f = 1.111 eV per atom
VASP energy = -0.26958 Ha/atom
Distance to the lowest polymorph of the same formula = 1160 meV/atom

```
data_TaV3Ga
_chemical_formula_sum 'Ta1 V3 Ga1'
_cell_length_a 4.444
_cell_length_b 4.444
_cell_length_c 4.444
_cell_angle_alpha 90.00
_cell_angle_beta 90.00
_cell_angle_gamma 90.00
_symmetry_space_group_name_H-M 'P m -3 m'
_symmetry_Int_Tables_number 221
_symmetry_space_group_name_Hall '-P 4 2 3'
loop_
_atom_site_label
_atom_site_fract_x
_atom_site_fract_y
_atom_site_fract_z
Ta1 0.000 0.000 0.000
V1 0.000 0.500 0.500
Ga1 0.500 0.500 0.500
```